Ac2PrFeO6 | PBE+U | optimized geometry

Computed properties:
Density = 8.026 g/cm³
Energy = -7.551 eV per atom
Spin magnetization = 2.99 μB per cell

Geometry as CIF:
```
data_Ac2PrFeO6
_space_group_name_H-M_alt 'P 1'
_space_group_IT_number 1
_cell_length_a 5.9796
_cell_length_b 5.8216
_cell_length_c 6.2544
_cell_angle_alpha 117.74
_cell_angle_beta 121.94
_cell_angle_gamma 90.00
loop_
_space_group_symop_operation_xyz
'x,y,z'
loop_
_atom_site_label
_atom_site_fract_x
_atom_site_fract_y
_atom_site_fract_z
Fe1 0.5000 0.0000 0.0000
O1 0.6275 0.2400 0.4799
O2 0.3725 0.7600 0.5201
O3 0.7891 0.8299 0.1305
Ac1 0.7615 0.7409 0.4818
O4 0.2109 0.6993 0.8695
Pr1 0.0000 0.5000 0.0000
O5 0.2109 0.1701 0.8695
Ac2 0.2385 0.2591 0.5182
O6 0.7891 0.3007 0.1305
```